# 1
A plane-wave DFT calculation with GGA-PBE was carried out for Na2U2CoSe6 after structural relaxation.

The raw formation energy comes out at -923.9 meV per atom. For the total energy, the calculation gives -0.4236 Ry/atom.

It has space group C2/m (No. 12), with a = 6.812 Å, b = 11.852 Å, c = 7.508 Å, α = 90.00°, β = 107.82° and γ = 90.00°. The asymmetric unit holds Na at (0.000, 0.170, 0.000), U at (0.000, 0.335, 0.500), Co at (0.000, 0.000, 0.500), Se at (0.234, 0.160, 0.719) and Se at (0.237, 0.000, 0.283).

=====

# 2
A plane-wave DFT calculation with GGA-PBE was carried out for SrZnBr3 after structural relaxation.

The calculation puts the offset from the most stable computed form at 0.096 eV/atom. The raw formation energy comes out at -956.2 meV per atom. For the total energy, the calculation gives -0.1875 Ry/atom.

It has space group Pm-3m (No. 221), with a = 5.967 Å, b = 5.967 Å, c = 5.967 Å, α = 90.00°, β = 90.00° and γ = 90.00°. The asymmetric unit holds Sr at (0.000, 0.000, 0.000), Zn at (0.500, 0.500, 0.500) and Br at (0.000, 0.000, 0.500).

=====

# 3
A plane-wave DFT calculation with GGA-PBE was carried out for NiPtS after structural relaxation.

The calculation puts the offset from the most stable computed form at 0.033 eV/atom. The raw formation energy comes out at -142.0 meV per atom. For the total energy, the calculation gives -0.4012 Ry/atom.

It has space group P1 (No. 1), with a = 3.690 Å, b = 4.549 Å, c = 5.810 Å, α = 70.72°, β = 81.34° and γ = 89.19°. The asymmetric unit holds Ni at (0.000, 0.000, 0.000), Ni at (0.385, 0.978, 0.593), Pt at (0.127, 0.550, 0.406), Pt at (0.543, 0.386, 0.784), S at (0.508, 0.744, 0.988) and S at (0.935, 0.072, 0.363).

=====

# 4
A plane-wave DFT calculation with GGA-PBE was carried out for AlSn2P2 after structural relaxation.

The calculation puts the offset from the most stable computed form at 0.113 eV/atom. The formation enthalpy at 0 K comes out at 0.370 eV/atom. For the total energy, the calculation gives -0.3045 Ry/atom.

It has space group P4/mbm (No. 127), with a = 7.682 Å, b = 7.682 Å, c = 3.636 Å, α = 90.00°, β = 90.00° and γ = 90.00°. The asymmetric unit holds Al at (0.000, 0.000, 0.000), Sn at (0.149, 0.351, 0.000) and P at (0.156, 0.656, 0.500).

=====

# 5
A plane-wave DFT calculation with GGA-PBE was carried out for LaTlAgPt after structural relaxation.

The formation enthalpy at 0 K comes out at -0.461 eV/atom. For the total energy, the calculation gives -0.3313 Ry/atom.

It has space group F-43m (No. 216), with a = 7.180 Å, b = 7.180 Å, c = 7.180 Å, α = 90.00°, β = 90.00° and γ = 90.00°. The asymmetric unit holds La at (0.000, 0.000, 0.000), Tl at (0.000, 0.000, 0.500), Ag at (0.250, 0.250, 0.750) and Pt at (0.250, 0.250, 0.250).

=====

# 6
A plane-wave DFT calculation with GGA-PBE was carried out for VGa2CuRe after structural relaxation.

The formation enthalpy at 0 K comes out at 1.167 eV/atom. For the total energy, the calculation gives -0.3804 Ry/atom.

It has space group P4/mmm (No. 123), with a = 4.709 Å, b = 4.709 Å, c = 4.681 Å, α = 90.00°, β = 90.00° and γ = 90.00°. The asymmetric unit holds V at (0.000, 0.000, 0.000), Ga at (0.000, 0.500, 0.500), Cu at (0.500, 0.500, 0.000) and Re at (0.500, 0.500, 0.500).

=====

# 7
A plane-wave DFT calculation with GGA-PBE was carried out for ZrBePt3 after structural relaxation.

The calculation puts the offset from the most stable computed form at 1.684 eV/atom. The formation enthalpy at 0 K comes out at 1.142 eV/atom. For the total energy, the calculation gives -0.3629 Ry/atom.

It has space group Pm-3m (No. 221), with a = 4.947 Å, b = 4.947 Å, c = 4.947 Å, α = 90.00°, β = 90.00° and γ = 90.00°. The asymmetric unit holds Zr at (0.000, 0.000, 0.000), Be at (0.500, 0.500, 0.500) and Pt at (0.000, 0.000, 0.500).

=====

# 8
A plane-wave DFT calculation with GGA-PBE was carried out for KSr2Hg2 after structural relaxation.

The calculation puts the offset from the most stable computed form at 0.189 eV/atom. The formation enthalpy at 0 K comes out at -0.168 eV/atom. For the total energy, the calculation gives -0.0868 Ry/atom.

It has space group I4/mmm (No. 139), with a = 6.119 Å, b = 6.119 Å, c = 12.525 Å, α = 90.00°, β = 90.00° and γ = 90.00°. The asymmetric unit holds K at (0.000, 0.000, 0.000), Sr at (0.000, 0.000, 0.339) and Hg at (0.000, 0.500, 0.250).

=====

# 9
A plane-wave DFT calculation with GGA-PBE was carried out for Ni2Ge2As after structural relaxation.

The calculation puts the offset from the most stable computed form at 0.115 eV/atom. The formation enthalpy at 0 K comes out at 0.110 eV/atom. For the total energy, the calculation gives -0.3660 Ry/atom.

It has space group I4/mmm (No. 139), with a = 3.848 Å, b = 3.848 Å, c = 10.499 Å, α = 90.00°, β = 90.00° and γ = 90.00°. The asymmetric unit holds Ni at (0.000, 0.500, 0.250), Ge at (0.000, 0.000, 0.116) and As at (0.000, 0.000, 0.500).

=====

# 10
A plane-wave DFT calculation with GGA-PBE was carried out for GeRuSe2Br after structural relaxation.

The calculation puts the offset from the most stable computed form at 0.526 eV/atom. The raw formation energy comes out at 926.2 meV per atom. For the total energy, the calculation gives -0.2632 Ry/atom.

It has space group P4/mmm (No. 123), with a = 5.010 Å, b = 5.010 Å, c = 5.145 Å, α = 90.00°, β = 90.00° and γ = 90.00°. The asymmetric unit holds Ge at (0.000, 0.000, 0.000), Ru at (0.500, 0.500, 0.500), Se at (0.000, 0.500, 0.000) and Br at (0.000, 0.000, 0.500).

=====

# 11
A plane-wave DFT calculation with GGA-PBE was carried out for ScAg after structural relaxation.

The formation enthalpy at 0 K comes out at 0.708 eV/atom. For the total energy, the calculation gives -0.2854 Ry/atom.

It has space group I-43m (No. 217), with a = 8.677 Å, b = 8.677 Å, c = 8.677 Å, α = 90.00°, β = 90.00° and γ = 90.00°. The asymmetric unit holds Sc at (0.130, 0.130, 0.130) and Ag at (0.183, 0.183, 0.817).

=====

# 12
A plane-wave DFT calculation with GGA-PBE was carried out for ThNi6Rh2 after structural relaxation.

The formation enthalpy at 0 K comes out at -0.012 eV/atom. For the total energy, the calculation gives -0.4648 Ry/atom.

It has space group Immm (No. 71), with a = 4.274 Å, b = 5.210 Å, c = 11.712 Å, α = 90.00°, β = 90.00° and γ = 90.00°. The asymmetric unit holds Th at (0.000, 0.000, 0.000), Ni at (0.000, 0.217, 0.500), Ni at (0.000, 0.240, 0.298) and Rh at (0.000, 0.500, 0.118).

=====

# 13
A plane-wave DFT calculation with GGA-PBE was carried out for CePt6 after structural relaxation.

The calculation puts the offset from the most stable computed form at 0.000 eV/atom. The formation enthalpy at 0 K comes out at -0.580 eV/atom. For the total energy, the calculation gives -0.4855 Ry/atom.

It has space group Cmcm (No. 63), with a = 9.551 Å, b = 9.589 Å, c = 5.438 Å, α = 90.00°, β = 90.00° and γ = 90.00°. The asymmetric unit holds Ce at (0.000, 0.240, 0.250), Pt at (0.000, 0.056, 0.750), Pt at (0.000, 0.473, 0.750), Pt at (0.204, 0.254, 0.750) and Pt at (0.248, 0.000, 0.000).

=====

# 14
A plane-wave DFT calculation with GGA-PBE was carried out for LiBePO2 after structural relaxation.

The calculation puts the offset from the most stable computed form at 0.000 eV/atom. The raw formation energy comes out at -328.4 meV per atom. For the total energy, the calculation gives -0.3323 Ry/atom.

It has space group P4/mmm (No. 123), with a = 3.386 Å, b = 3.386 Å, c = 4.967 Å, α = 90.00°, β = 90.00° and γ = 90.00°. The asymmetric unit holds Li at (0.000, 0.000, 0.000), Be at (0.500, 0.500, 0.500), P at (0.500, 0.500, 0.000) and O at (0.000, 0.500, 0.500).

=====

# 15
A plane-wave DFT calculation with GGA-PBE was carried out for Be2FeCu after structural relaxation.

The formation enthalpy at 0 K comes out at 0.037 eV/atom. For the total energy, the calculation gives -0.3650 Ry/atom.

It has space group P2/m (No. 10), with a = 4.071 Å, b = 2.404 Å, c = 4.430 Å, α = 90.00°, β = 114.76° and γ = 90.00°. The asymmetric unit holds Be at (0.000, 0.000, 0.000), Be at (0.000, 0.500, 0.500), Fe at (0.500, 0.000, 0.500) and Cu at (0.500, 0.500, 0.000).

=====

# 16
A plane-wave DFT calculation with GGA-PBE was carried out for ZrReP2 after structural relaxation.

The calculation puts the offset from the most stable computed form at 0.183 eV/atom. The formation enthalpy at 0 K comes out at -0.547 eV/atom. For the total energy, the calculation gives -0.6248 Ry/atom.

It has space group Cm (No. 8), with a = 8.847 Å, b = 3.151 Å, c = 4.658 Å, α = 90.00°, β = 104.02° and γ = 90.00°. The asymmetric unit holds Zr at (0.000, 0.000, 0.000), Re at (0.232, 0.000, 0.589), P at (0.011, 0.500, 0.499) and P at (0.243, 0.500, 0.185).

=====

# 17
A plane-wave DFT calculation with GGA-PBE was carried out for TaAl3Os after structural relaxation.

The calculation puts the offset from the most stable computed form at 1.077 eV/atom. The formation enthalpy at 0 K comes out at 1.794 eV/atom. For the total energy, the calculation gives -0.3725 Ry/atom.

It has space group Pm-3m (No. 221), with a = 4.794 Å, b = 4.794 Å, c = 4.794 Å, α = 90.00°, β = 90.00° and γ = 90.00°. The asymmetric unit holds Ta at (0.000, 0.000, 0.000), Al at (0.000, 0.000, 0.500) and Os at (0.500, 0.500, 0.500).

=====

# 18
A plane-wave DFT calculation with GGA-PBE was carried out for NdIn6Pd6 after structural relaxation.

The formation enthalpy at 0 K comes out at -0.541 eV/atom. For the total energy, the calculation gives -0.3357 Ry/atom.

It has space group Immm (No. 71), with a = 5.635 Å, b = 9.228 Å, c = 9.852 Å, α = 90.00°, β = 90.00° and γ = 90.00°. The asymmetric unit holds Nd at (0.000, 0.000, 0.000), In at (0.000, 0.000, 0.342), In at (0.000, 0.338, 0.000), In at (0.000, 0.500, 0.322), Pd at (0.000, 0.261, 0.500) and Pd at (0.250, 0.250, 0.250).

=====

# 19
A plane-wave DFT calculation with GGA-PBE was carried out for ErNb2Mo after structural relaxation.

The formation enthalpy at 0 K comes out at 0.131 eV/atom. For the total energy, the calculation gives -0.6433 Ry/atom.

It has space group P4/mmm (No. 123), with a = 3.286 Å, b = 3.286 Å, c = 7.359 Å, α = 90.00°, β = 90.00° and γ = 90.00°. The asymmetric unit holds Er at (0.000, 0.000, 0.000), Nb at (0.500, 0.500, 0.294) and Mo at (0.000, 0.000, 0.500).

=====

# 20
A plane-wave DFT calculation with GGA-PBE was carried out for Ce3Y after structural relaxation.

The calculation puts the offset from the most stable computed form at 0.051 eV/atom. The formation enthalpy at 0 K comes out at 0.121 eV/atom. For the total energy, the calculation gives -0.4370 Ry/atom.

It has space group Pm-3m (No. 221), with a = 4.880 Å, b = 4.880 Å, c = 4.880 Å, α = 90.00°, β = 90.00° and γ = 90.00°. The asymmetric unit holds Ce at (0.000, 0.000, 0.500) and Y at (0.500, 0.500, 0.500).

=====

| no. | calculated volume (Å³/cell) |
| --- | --- |
| 1 | 577.1 |
| 2 | 212.5 |
| 3 | 90.9 |
| 4 | 214.6 |
| 5 | 370.1 |
| 6 | 103.8 |
| 7 | 121.1 |
| 8 | 469.0 |
| 9 | 155.5 |
| 10 | 129.2 |
| 11 | 653.3 |
| 12 | 260.8 |
| 13 | 498.0 |
| 14 | 57.0 |
| 15 | 39.4 |
| 16 | 126.0 |
| 17 | 110.2 |
| 18 | 512.2 |
| 19 | 79.5 |
| 20 | 116.2 |